[1]
Entry from the Alexandria database: a relaxed TbRh2Pb crystal (GGA-PBE).

```
data_TbRh2Pb
_symmetry_space_group_name_H-M 'P 1'
_symmetry_Int_Tables_number 1
_cell_length_a 3.730
_cell_length_b 4.553
_cell_length_c 4.553
_cell_angle_alpha 90.00
_cell_angle_beta 90.00
_cell_angle_gamma 90.00
loop_
_symmetry_equiv_pos_as_xyz
'x,y,z'
loop_
_atom_site_label
_atom_site_fract_x
_atom_site_fract_y
_atom_site_fract_z
_atom_site_occupancy
Pb1 0.500 0.000 0.000 1
Rh1 0.000 0.000 0.500 1
Rh2 0.000 0.500 0.000 1
Tb1 0.500 0.500 0.500 1
```

=====

[2]
Entry from the Alexandria database: a relaxed Fe3Co4 crystal (GGA-PBE).

```
data_Fe3Co4
_symmetry_space_group_name_H-M 'P 1'
_symmetry_Int_Tables_number 1
_cell_length_a 4.698
_cell_length_b 4.698
_cell_length_c 4.691
_cell_angle_alpha 84.58
_cell_angle_beta 84.58
_cell_angle_gamma 50.79
loop_
_symmetry_equiv_pos_as_xyz
'x,y,z'
loop_
_atom_site_label
_atom_site_fract_x
_atom_site_fract_y
_atom_site_fract_z
_atom_site_occupancy
Co1 0.002 0.002 0.000 1
Co2 0.713 0.713 0.143 1
Co3 0.144 0.144 0.435 1
Co4 0.570 0.570 0.707 1
Fe1 0.430 0.430 0.284 1
Fe2 0.857 0.857 0.571 1
Fe3 0.284 0.284 0.859 1
```

=====

[3]
# RbRhW2Cl GGA-PBE relaxed
# Uncorrected formation energy ... 1.451 eV per atom
data_RbRhW2Cl
_symmetry_space_group_name_H-M 'P 1'
_symmetry_Int_Tables_number 1
_cell_length_a 4.741
_cell_length_b 7.708
_cell_length_c 4.741
_cell_angle_alpha 90.00
_cell_angle_beta 90.00
_cell_angle_gamma 90.00
loop_
_symmetry_equiv_pos_as_xyz
'x,y,z'
loop_
_atom_site_label
_atom_site_fract_x
_atom_site_fract_y
_atom_site_fract_z
_atom_site_occupancy
Rh1 0.000 0.000 0.000 1
Rb1 0.500 0.500 0.500 1
W1 0.000 0.000 0.500 1
W2 0.500 0.000 0.000 1
Cl1 0.000 0.500 0.000 1

=====

[4]
Entry from the Alexandria database: a relaxed Ac2LaCu crystal (GGA-PBE).

```
data_Ac2LaCu
_symmetry_space_group_name_H-M 'P 1'
_symmetry_Int_Tables_number 1
_cell_length_a 6.997
_cell_length_b 7.493
_cell_length_c 10.674
_cell_angle_alpha 90.00
_cell_angle_beta 90.00
_cell_angle_gamma 90.00
loop_
_symmetry_equiv_pos_as_xyz
'x,y,z'
loop_
_atom_site_label
_atom_site_fract_x
_atom_site_fract_y
_atom_site_fract_z
_atom_site_occupancy
Ac1 0.166 0.691 0.065 1
Ac2 0.334 0.191 0.435 1
Ac3 0.834 0.309 0.565 1
Ac4 0.666 0.809 0.935 1
Ac5 0.834 0.309 0.935 1
Ac6 0.666 0.809 0.565 1
Ac7 0.166 0.691 0.435 1
Ac8 0.334 0.191 0.065 1
La1 0.654 0.529 0.250 1
La2 0.846 0.029 0.250 1
La3 0.346 0.471 0.750 1
La4 0.154 0.971 0.750 1
Cu1 0.058 0.384 0.250 1
Cu2 0.442 0.884 0.250 1
Cu3 0.942 0.616 0.750 1
Cu4 0.558 0.116 0.750 1
```

=====

[5]
Entry from the Alexandria database: a relaxed Cs5K4Ag crystal (GGA-PBE).

```
data_Cs5K4Ag
_symmetry_space_group_name_H-M 'P 1'
_symmetry_Int_Tables_number 1
_cell_length_a 7.446
_cell_length_b 11.339
_cell_length_c 11.339
_cell_angle_alpha 83.81
_cell_angle_beta 70.83
_cell_angle_gamma 70.83
loop_
_symmetry_equiv_pos_as_xyz
'x,y,z'
loop_
_atom_site_label
_atom_site_fract_x
_atom_site_fract_y
_atom_site_fract_z
_atom_site_occupancy
Cs1 0.170 0.658 0.000 1
Cs2 0.170 0.000 0.658 1
Cs3 0.828 0.000 0.342 1
Cs4 0.828 0.342 0.000 1
Cs5 0.499 0.000 0.000 1
K1 0.850 0.649 0.649 1
K2 0.499 0.351 0.649 1
K3 0.499 0.649 0.351 1
K4 0.148 0.351 0.351 1
Ag1 0.999 0.000 0.000 1
```

=====

[6]
Entry from the Alexandria database: a relaxed ErTcP crystal (GGA-PBE).

```
data_ErTcP
_symmetry_space_group_name_H-M 'P 1'
_symmetry_Int_Tables_number 1
_cell_length_a 3.769
_cell_length_b 4.115
_cell_length_c 4.115
_cell_angle_alpha 120.00
_cell_angle_beta 90.00
_cell_angle_gamma 90.00
loop_
_symmetry_equiv_pos_as_xyz
'x,y,z'
loop_
_atom_site_label
_atom_site_fract_x
_atom_site_fract_y
_atom_site_fract_z
_atom_site_occupancy
P1 0.167 0.000 0.000 1
Tc1 0.167 0.333 0.667 1
Er1 0.667 0.667 0.333 1
```

=====

[7]
Entry from the Alexandria database: a relaxed MgCdW2 crystal (GGA-PBE).

```
data_MgCdW2
_symmetry_space_group_name_H-M 'P 1'
_symmetry_Int_Tables_number 1
_cell_length_a 2.743
_cell_length_b 2.743
_cell_length_c 9.539
_cell_angle_alpha 90.00
_cell_angle_beta 90.00
_cell_angle_gamma 102.95
loop_
_symmetry_equiv_pos_as_xyz
'x,y,z'
loop_
_atom_site_label
_atom_site_fract_x
_atom_site_fract_y
_atom_site_fract_z
_atom_site_occupancy
Cd1 0.500 0.500 0.250 1
Mg1 0.500 0.500 0.750 1
W1 0.000 0.000 0.996 1
W2 0.000 0.000 0.504 1
```

=====

[8]
Entry from the Alexandria database: a relaxed Nd2AlIr3 crystal (GGA-PBE).

```
data_Nd2AlIr3
_symmetry_space_group_name_H-M 'P 1'
_symmetry_Int_Tables_number 1
_cell_length_a 5.658
_cell_length_b 5.658
_cell_length_c 8.197
_cell_angle_alpha 90.00
_cell_angle_beta 90.00
_cell_angle_gamma 120.00
loop_
_symmetry_equiv_pos_as_xyz
'x,y,z'
loop_
_atom_site_label
_atom_site_fract_x
_atom_site_fract_y
_atom_site_fract_z
_atom_site_occupancy
Nd1 0.667 0.333 0.436 1
Nd2 0.333 0.667 0.564 1
Nd3 0.333 0.667 0.936 1
Nd4 0.667 0.333 0.064 1
Al1 0.000 0.000 0.500 1
Al2 0.000 0.000 0.000 1
Ir1 0.168 0.337 0.250 1
Ir2 0.337 0.168 0.750 1
Ir3 0.832 0.663 0.750 1
Ir4 0.168 0.832 0.250 1
Ir5 0.832 0.168 0.750 1
Ir6 0.663 0.832 0.250 1
```

=====

no.,V (Å³ per atom),uncorrected energy (eV per atom)
1,19.33,-6.309
2,11.40,-7.684
3,34.64,-5.763
4,34.97,-4.355
5,85.42,-1.132
6,18.42,-7.452
7,17.49,-6.563
8,18.94,-7.436